DyMg2Au3, optimized geometry, DFT PBE; relative energy among the computed polymorphs = 0.000 eV/atom; calculated formation energy = -16.342 kcal/mol of atoms; space-group type = P-3m1, No. 164; mass density = 11.033 Mg/m³
1.0
4.7570 0.0000 0.0000
-2.3785 4.1197 0.0000
0.0000 0.0000 12.3188
Au Mg Dy
6 4 2
direct
0.6667 0.3333 0.5703 Au
0.6667 0.3333 0.0791 Au
0.3333 0.6667 0.4297 Au
0.3333 0.6667 0.9209 Au
0.0000 0.0000 0.2257 Au
0.0000 0.0000 0.7743 Au
0.0000 0.0000 0.0000 Mg
0.0000 0.0000 0.5000 Mg
0.6667 0.3333 0.8441 Mg
0.3333 0.6667 0.1559 Mg
0.3333 0.6667 0.6738 Dy
0.6667 0.3333 0.3262 Dy